{"formula": "SrAl2Cu", "functional": "PBE", "state": "optimized geometry", "crystal_system": "trigonal", "final_energy_ev_per_atom": -3.541, "formation_energy_mev_per_atom": -225.4, "cell": [[2.124, 1.226, 5.943], [-2.124, 1.226, 5.943], [0.000, -2.452, 5.943]], "species": ["Sr", "Al", "Al", "Cu"], "frac_coords": [[0.000, 0.000, 0.000], [0.202, 0.202, 0.202], [0.798, 0.798, 0.798], [0.500, 0.500, 0.500]]}


{"formula": "Mg8Hg3Pb2", "functional": "PBE", "state": "optimized geometry", "crystal_system": "orthorhombic", "final_energy_ev_per_atom": -1.721, "relative_energy_kj_per_mol_atoms": 0.0, "formation_energy_mev_per_atom": -99.4, "cell": [[4.770, -7.155, 0.000], [4.770, 7.155, 0.000], [0.000, 0.000, 4.797]], "species": ["Mg", "Mg", "Mg", "Mg", "Mg", "Mg", "Mg", "Mg", "Hg", "Hg", "Hg", "Pb", "Pb"], "frac_coords": [[0.120, 0.880, 0.000], [0.127, 0.368, 0.500], [0.368, 0.127, 0.500], [0.373, 0.627, 0.000], [0.627, 0.373, 0.000], [0.632, 0.873, 0.500], [0.873, 0.632, 0.500], [0.880, 0.120, 0.000], [0.242, 0.242, 0.000], [0.500, 0.500, 0.500], [0.758, 0.758, 0.000], [0.245, 0.755, 0.500], [0.755, 0.245, 0.500]]}


{"formula": "KZnP3", "functional": "PBE", "state": "optimized geometry", "crystal_system": "cubic", "final_energy_ev_per_atom": -3.153, "relative_energy_kj_per_mol_atoms": 0.0, "formation_energy_mev_per_atom": 567.1, "cell": [[4.829, 0.000, 0.000], [0.000, 4.829, 0.000], [0.000, 0.000, 4.829]], "species": ["K", "Zn", "P", "P", "P"], "frac_coords": [[0.000, 0.000, 0.000], [0.500, 0.500, 0.500], [0.000, 0.500, 0.500], [0.500, 0.000, 0.500], [0.500, 0.500, 0.000]]}


{"formula": "Sr3CaTl12", "functional": "PBE", "state": "optimized geometry", "crystal_system": "tetragonal", "final_energy_ev_per_atom": -2.463, "formation_energy_mev_per_atom": -248.2, "cell": [[5.006, 0.000, 0.000], [0.000, 5.006, 0.000], [0.000, 0.000, 19.445]], "species": ["Sr", "Sr", "Sr", "Ca", "Tl", "Tl", "Tl", "Tl", "Tl", "Tl", "Tl", "Tl", "Tl", "Tl", "Tl", "Tl"], "frac_coords": [[0.000, 0.000, 0.000], [0.000, 0.000, 0.255], [0.000, 0.000, 0.745], [0.000, 0.000, 0.500], [0.000, 0.500, 0.127], [0.000, 0.500, 0.380], [0.000, 0.500, 0.620], [0.000, 0.500, 0.873], [0.500, 0.000, 0.127], [0.500, 0.000, 0.380], [0.500, 0.000, 0.620], [0.500, 0.000, 0.873], [0.500, 0.500, 0.000], [0.500, 0.500, 0.251], [0.500, 0.500, 0.500], [0.500, 0.500, 0.749]]}


{"formula": "Ba2NaZnAg", "functional": "PBE", "state": "optimized geometry", "crystal_system": "tetragonal", "final_energy_ev_per_atom": -1.879, "relative_energy_kj_per_mol_atoms": 0.0, "formation_energy_mev_per_atom": -20.8, "cell": [[6.495, 0.000, 0.000], [0.000, 6.495, 0.000], [0.000, 0.000, 5.066]], "species": ["Ba", "Ba", "Na", "Zn", "Ag"], "frac_coords": [[0.000, 0.500, 0.000], [0.500, 0.000, 0.000], [0.000, 0.000, 0.500], [0.500, 0.500, 0.500], [0.500, 0.500, 0.000]]}


{"formula": "TaCr2HOs", "functional": "PBE", "state": "optimized geometry", "crystal_system": "tetragonal", "final_energy_ev_per_atom": -7.835, "relative_energy_kj_per_mol_atoms": 117.9, "cell": [[4.723, 0.000, 0.000], [0.000, 4.723, 0.000], [0.000, 0.000, 3.168]], "species": ["Ta", "Cr", "Cr", "H", "Os"], "frac_coords": [[0.000, 0.000, 0.000], [0.000, 0.500, 0.000], [0.500, 0.000, 0.000], [0.000, 0.000, 0.500], [0.500, 0.500, 0.500]]}


{"formula": "Ni4H6Rh", "functional": "PBE", "state": "optimized geometry", "crystal_system": "orthorhombic", "final_energy_ev_per_atom": -4.604, "cell": [[1.359, -4.329, 0.000], [1.359, 4.329, 0.000], [0.000, 0.000, 12.389]], "species": ["Ni", "Ni", "Ni", "Ni", "Ni", "Ni", "Ni", "Ni", "H", "H", "H", "H", "H", "H", "H", "H", "H", "H", "H", "H", "Rh", "Rh"], "frac_coords": [[0.090, 0.910, 0.631], [0.090, 0.910, 0.869], [0.362, 0.638, 0.548], [0.362, 0.638, 0.952], [0.638, 0.362, 0.048], [0.638, 0.362, 0.452], [0.910, 0.090, 0.131], [0.910, 0.090, 0.369], [0.000, 0.000, 0.000], [0.000, 0.000, 0.500], [0.186, 0.814, 0.750], [0.280, 0.720, 0.087], [0.280, 0.720, 0.413], [0.456, 0.544, 0.669], [0.456, 0.544, 0.831], [0.544, 0.456, 0.169], [0.544, 0.456, 0.331], [0.720, 0.280, 0.587], [0.720, 0.280, 0.913], [0.814, 0.186, 0.250], [0.172, 0.828, 0.250], [0.828, 0.172, 0.750]]}


{"formula": "Ac3Pm5Se12", "functional": "PBE", "state": "optimized geometry", "crystal_system": "cubic", "final_energy_ev_per_atom": -5.706, "raw_formation_energy_ev_per_atom": -1.8112, "cell": [[-8.790, 8.790, 8.790], [8.790, -8.790, 8.790], [8.790, 8.790, -8.790]], "species": ["Ac", "Ac", "Ac", "Ac", "Ac", "Ac", "Ac", "Ac", "Ac", "Ac", "Ac", "Ac", "Pm", "Pm", "Pm", "Pm", "Pm", "Pm", "Pm", "Pm", "Pm", "Pm", "Pm", "Pm", "Pm", "Pm", "Pm", "Pm", "Pm", "Pm", "Pm", "Pm", "Se", "Se", "Se", "Se", "Se", "Se", "Se", "Se", "Se", "Se", "Se", "Se", "Se", "Se", "Se", "Se", "Se", "Se", "Se", "Se", "Se", "Se", "Se", "Se", "Se", "Se", "Se", "Se", "Se", "Se", "Se", "Se", "Se", "Se", "Se", "Se", "Se", "Se", "Se", "Se", "Se", "Se", "Se", "Se", "Se", "Se", "Se", "Se"], "frac_coords": [[0.125, 0.250, 0.375], [0.125, 0.375, 0.750], [0.250, 0.375, 0.125], [0.250, 0.875, 0.625], [0.375, 0.125, 0.250], [0.375, 0.750, 0.125], [0.625, 0.250, 0.875], [0.625, 0.875, 0.750], [0.750, 0.125, 0.375], [0.750, 0.625, 0.875], [0.875, 0.625, 0.250], [0.875, 0.750, 0.625], [0.000, 0.000, 0.000], [0.000, 0.000, 0.500], [0.000, 0.500, 0.000], [0.000, 0.500, 0.500], [0.125, 0.750, 0.875], [0.125, 0.875, 0.250], [0.250, 0.125, 0.875], [0.250, 0.625, 0.375], [0.375, 0.250, 0.625], [0.375, 0.625, 0.750], [0.500, 0.000, 0.000], [0.500, 0.000, 0.500], [0.500, 0.500, 0.000], [0.500, 0.500, 0.500], [0.625, 0.375, 0.250], [0.625, 0.750, 0.375], [0.750, 0.375, 0.625], [0.750, 0.875, 0.125], [0.875, 0.125, 0.750], [0.875, 0.250, 0.125], [0.045, 0.219, 0.130], [0.045, 0.326, 0.915], [0.085, 0.630, 0.411], [0.085, 0.955, 0.674], [0.089, 0.719, 0.674], [0.089, 0.870, 0.415], [0.130, 0.045, 0.219], [0.130, 0.585, 0.911], [0.174, 0.219, 0.589], [0.174, 0.455, 0.585], [0.219, 0.130, 0.045], [0.219, 0.589, 0.174], [0.281, 0.326, 0.911], [0.281, 0.455, 0.370], [0.326, 0.911, 0.281], [0.326, 0.915, 0.045], [0.370, 0.281, 0.455], [0.370, 0.589, 0.915], [0.411, 0.085, 0.630], [0.411, 0.826, 0.781], [0.415, 0.089, 0.870], [0.415, 0.826, 0.545], [0.455, 0.370, 0.281], [0.455, 0.585, 0.174], [0.545, 0.415, 0.826], [0.545, 0.630, 0.719], [0.585, 0.174, 0.455], [0.585, 0.911, 0.130], [0.589, 0.174, 0.219], [0.589, 0.915, 0.370], [0.630, 0.411, 0.085], [0.630, 0.719, 0.545], [0.674, 0.085, 0.955], [0.674, 0.089, 0.719], [0.719, 0.545, 0.630], [0.719, 0.674, 0.089], [0.781, 0.411, 0.826], [0.781, 0.870, 0.955], [0.826, 0.545, 0.415], [0.826, 0.781, 0.411], [0.870, 0.415, 0.089], [0.870, 0.955, 0.781], [0.911, 0.130, 0.585], [0.911, 0.281, 0.326], [0.915, 0.045, 0.326], [0.915, 0.370, 0.589], [0.955, 0.674, 0.085], [0.955, 0.781, 0.870]]}


{"formula": "CaAlSe2", "functional": "PBE", "state": "optimized geometry", "crystal_system": "cubic", "final_energy_ev_per_atom": -3.467, "raw_formation_energy_ev_per_atom": -0.2889, "cell": [[0.000, 3.606, 3.606], [3.606, 0.000, 3.606], [3.606, 3.606, 0.000]], "species": ["Ca", "Al", "Se", "Se"], "frac_coords": [[0.000, 0.000, 0.000], [0.750, 0.750, 0.750], [0.250, 0.250, 0.250], [0.500, 0.500, 0.500]]}


{"formula": "La2Al4GaPt3", "functional": "PBE", "state": "optimized geometry", "crystal_system": "tetragonal", "final_energy_ev_per_atom": -5.604, "formation_energy_mev_per_atom": -1007.0, "cell": [[4.363, 0.000, 0.000], [0.000, 4.363, 0.000], [0.000, 0.000, 10.482]], "species": ["La", "La", "Al", "Al", "Al", "Al", "Ga", "Pt", "Pt", "Pt"], "frac_coords": [[0.000, 0.500, 0.249], [0.500, 0.000, 0.751], [0.000, 0.000, 0.500], [0.000, 0.500, 0.865], [0.500, 0.000, 0.135], [0.500, 0.500, 0.500], [0.500, 0.500, 0.000], [0.000, 0.000, 0.000], [0.000, 0.500, 0.627], [0.500, 0.000, 0.373]]}


{"formula": "LaPmTl", "functional": "PBE", "state": "optimized geometry", "crystal_system": "trigonal", "final_energy_ev_per_atom": -4.169, "relative_energy_kj_per_mol_atoms": 12.2, "formation_energy_mev_per_atom": -154.1, "cell": [[1.884, 1.088, 8.182], [-1.884, 1.088, 8.182], [0.000, -2.176, 8.182]], "species": ["La", "Pm", "Tl"], "frac_coords": [[0.000, 0.000, 0.000], [0.545, 0.545, 0.545], [0.775, 0.775, 0.775]]}


{"formula": "H6Se3F", "functional": "PBE", "state": "optimized geometry", "crystal_system": "trigonal", "final_energy_ev_per_atom": -3.414, "cell": [[5.499, 3.175, 1.466], [-5.499, 3.175, 1.466], [0.000, -6.350, 1.466]], "species": ["H", "H", "H", "H", "H", "H", "Se", "Se", "Se", "F"], "frac_coords": [[0.035, 0.483, 0.483], [0.483, 0.035, 0.483], [0.483, 0.483, 0.035], [0.625, 0.625, 0.833], [0.625, 0.833, 0.625], [0.833, 0.625, 0.625], [0.185, 0.787, 0.787], [0.787, 0.185, 0.787], [0.787, 0.787, 0.185], [0.507, 0.507, 0.507]]}